Entry 1:
The following is a PBE calculation of a relaxed structure of CePuCdAg, from Alexandria.

a b c (Å): 5.310 5.310 5.310
angles (deg): 60.00 60.00 60.00
Positions (direct):
Ce: 0.000 0.000 0.000
Pu: 0.500 0.500 0.500
Cd: 0.250 0.250 0.250
Ag: 0.750 0.750 0.750

Summary:
Magnetic moment in μB per atom: 1.804
Raw total energy in eV per atom: -5.99
E_form in eV per formula unit: 0.09

=====

Entry 2:
The following is a PBE calculation of a relaxed structure of CeScCdAg, from Alexandria.

a b c (Å): 5.166 5.166 5.166
angles (deg): 60.00 60.00 60.00
Positions (direct):
Ce: 0.000 0.000 0.000
Sc: 0.500 0.500 0.500
Cd: 0.250 0.250 0.250
Ag: 0.750 0.750 0.750

Summary:
Magnetic moment in μB per atom: 0.228
Raw total energy in eV per atom: -4.14
E_form in eV per formula unit: -0.52

=====

Entry 3:
The following is a PBE calculation of a relaxed structure of Sr2CeCd12Ag3, from Alexandria.

a b c (Å): 9.108 9.108 9.108
angles (deg): 58.84 58.84 58.84
Positions (direct):
Sr: 0.086 0.086 0.086
Sr: 0.914 0.914 0.914
Ce: 0.500 0.500 0.500
Cd: 0.034 0.673 0.673
Cd: 0.259 0.259 0.659
Cd: 0.259 0.659 0.259
Cd: 0.327 0.327 0.966
Cd: 0.327 0.966 0.327
Cd: 0.341 0.741 0.741
Cd: 0.659 0.259 0.259
Cd: 0.673 0.034 0.673
Cd: 0.673 0.673 0.034
Cd: 0.741 0.341 0.741
Cd: 0.741 0.741 0.341
Cd: 0.966 0.327 0.327
Ag: 0.000 0.500 0.500
Ag: 0.500 0.000 0.500
Ag: 0.500 0.500 0.000

Summary:
Magnetic moment in μB per atom: 0.063
Raw total energy in eV per atom: -1.52
E_form in eV per formula unit: 1.52

=====

Entry 4:
The following is a PBE calculation of a relaxed structure of SrCeCdAg, from Alexandria.

a b c (Å): 5.492 5.492 5.492
angles (deg): 60.00 60.00 60.00
Positions (direct):
Sr: 0.000 0.000 0.000
Ce: 0.500 0.500 0.500
Cd: 0.250 0.250 0.250
Ag: 0.750 0.750 0.750

Summary:
Magnetic moment in μB per atom: 0.305
Raw total energy in eV per atom: -2.98
E_form in eV per formula unit: -0.55

=====

Entry 5:
The following is a PBE calculation of a relaxed structure of TbCeCdAg, from Alexandria.

a b c (Å): 5.303 5.303 5.303
angles (deg): 60.00 60.00 60.00
Positions (direct):
Tb: 0.000 0.000 0.000
Ce: 0.500 0.500 0.500
Cd: 0.750 0.750 0.750
Ag: 0.250 0.250 0.250

Summary:
Magnetic moment in μB per atom: 0.297
Raw total energy in eV per atom: -3.75
E_form in eV per formula unit: -0.67

=====

Entry 6:
The following is a PBE calculation of a relaxed structure of CeTlCdAg, from Alexandria.

a b c (Å): 5.175 5.175 5.175
angles (deg): 60.00 60.00 60.00
Positions (direct):
Ce: 0.000 0.000 0.000
Tl: 0.750 0.750 0.750
Cd: 0.500 0.500 0.500
Ag: 0.250 0.250 0.250

Summary:
Magnetic moment in μB per atom: 0.215
Raw total energy in eV per atom: -3.20
E_form in eV per formula unit: -0.73

=====

Entry 7:
The following is a PBE calculation of a relaxed structure of CeZnCd2Ag2, from Alexandria.

a b c (Å): 4.890 4.890 6.016
angles (deg): 90.00 90.00 90.00
Positions (direct):
Ce: 0.000 0.000 0.000
Zn: 0.000 0.000 0.500
Cd: 0.500 0.500 0.232
Cd: 0.500 0.500 0.768
Ag: 0.000 0.500 0.500
Ag: 0.500 0.000 0.500

Summary:
Magnetic moment in μB per atom: 0.223
Raw total energy in eV per atom: -2.40
E_form in eV per formula unit: 0.31

=====

Entry 8:
The following is a PBE calculation of a relaxed structure of CeZrCdAg, from Alexandria.

a b c (Å): 5.151 5.151 5.151
angles (deg): 60.00 60.00 60.00
Positions (direct):
Ce: 0.000 0.000 0.000
Zr: 0.500 0.500 0.500
Cd: 0.250 0.250 0.250
Ag: 0.750 0.750 0.750

Summary:
Magnetic moment in μB per atom: 0.577
Raw total energy in eV per atom: -4.53
E_form in eV per formula unit: 0.12